Entry 1:
Here is a relaxed structure of Er3Al3Ir2Au from the Open Quantum Materials Database. Energies are from GGA-PBE.

Results
The value obtained for the volume is 19.447 A^3/atom. The space group is P-62m (189). The calculation puts the magnetic moment at 0.011 μB/f.u.

Cell: 6.9869 6.9869 4.1401 Å, 90.00 90.00 120.00°
Fractional coordinates of all 9 atoms:
Er  0.0000  0.4198  0.0000
Er  0.4198  0.0000  0.0000
Er  0.5802  0.5802  0.0000
Al  0.0000  0.7488  0.5000
Al  0.2512  0.2512  0.5000
Al  0.7488  0.0000  0.5000
Ir  0.3333  0.6667  0.5000
Ir  0.6667  0.3333  0.5000
Au  0.0000  0.0000  0.0000

Entry 2:
Here is a relaxed structure of PuAgAs from the Open Quantum Materials Database. Energies are from GGA-PBE.

Results
The value obtained for the volume is 26.034 A^3/atom. The space group is F-43m (216). The calculation puts the magnetic moment at 5.144 μB/f.u.

Cell: 4.7980 4.7980 4.7980 Å, 60.00 60.00 60.00°
Fractional coordinates of all 3 atoms:
Pu  0.0000  0.0000  0.0000
Ag  0.7500  0.7500  0.7500
As  0.2500  0.2500  0.2500

Entry 3:
Here is a relaxed structure of PrNdFe2Bi2Sb2 from the Open Quantum Materials Database. Energies are from GGA-PBE.

Results
The value obtained for the volume is 25.223 A^3/atom. The space group is P4mm (99). The calculation puts the magnetic moment at 3.986 μB/f.u.

Cell: 4.5132 4.5132 9.9062 Å, 90.00 90.00 90.00°
Fractional coordinates of all 8 atoms:
Pr  0.0000  0.0000  0.0000
Nd  0.5000  0.5000  0.4582
Fe  0.0000  0.5000  0.2304
Fe  0.5000  0.0000  0.2304
Bi  0.0000  0.5000  0.7285
Bi  0.5000  0.0000  0.7285
Sb  0.0000  0.0000  0.3611
Sb  0.5000  0.5000  0.0993

Entry 4:
Here is a relaxed structure of LaHfZrIr2 from the Open Quantum Materials Database. Energies are from GGA-PBE.

Results
The value obtained for the volume is 23.911 A^3/atom. The calculation puts the formation energy at -28.9 kJ/mol of atoms. The space group is I4mm (107). The calculation puts the magnetic moment at 1.576 μB/f.u.

Cell: 6.6625 6.6625 6.6625 Å, 140.32 140.32 57.37°
Fractional coordinates of all 5 atoms:
La  0.0000  0.0000  0.0000
Hf  0.3615  0.3615  0.0000
Zr  0.6310  0.6310  0.0000
Ir  0.2490  0.7490  0.5000
Ir  0.7490  0.2490  0.5000

Entry 5:
Here is a relaxed structure of Tb2GdAl7Ag2 from the Open Quantum Materials Database. Energies are from GGA-PBE.

Results
The value obtained for the volume is 19.658 A^3/atom. The space group is R-3m (166). The calculation puts the magnetic moment at 0.010 μB/f.u.

Cell: 9.3635 9.3635 9.3635 Å, 34.58 34.58 34.58°
Fractional coordinates of all 12 atoms:
Tb  0.1420  0.1420  0.1420
Tb  0.8580  0.8580  0.8580
Gd  0.0000  0.0000  0.0000
Al  0.0758  0.5875  0.5875
Al  0.4125  0.4125  0.9242
Al  0.4125  0.9242  0.4125
Al  0.5000  0.5000  0.5000
Al  0.5875  0.0758  0.5875
Al  0.5875  0.5875  0.0758
Al  0.9242  0.4125  0.4125
Ag  0.3356  0.3356  0.3356
Ag  0.6644  0.6644  0.6644

Entry 6:
Here is a relaxed structure of Cs2CuSnBr6 from the Open Quantum Materials Database. Energies are from GGA-PBE.

Results
The value obtained for the volume is 33.457 A^3/atom. The space group is Fm-3m (225).

Cell: 7.7924 7.7924 7.7924 Å, 60.00 60.00 60.00°
Fractional coordinates of all 10 atoms:
Cs  0.2500  0.2500  0.2500
Cs  0.7500  0.7500  0.7500
Cu  0.0000  0.0000  0.0000
Sn  0.5000  0.5000  0.5000
Br  0.2410  0.2410  0.7590
Br  0.2410  0.7590  0.2410
Br  0.2410  0.7590  0.7590
Br  0.7590  0.2410  0.2410
Br  0.7590  0.2410  0.7590
Br  0.7590  0.7590  0.2410

Entry 7:
Here is a relaxed structure of Co2Re from the Open Quantum Materials Database. Energies are from GGA-PBE.

Results
The value obtained for the volume is 11.622 A^3/atom. The calculation puts the formation energy at 5.4 kJ/mol of atoms. The space group is P6_3/mmc (194). The calculation puts the magnetic moment at 1.980 μB/f.u.

Cell: 4.6323 4.6323 7.5051 Å, 90.00 90.00 120.00°
Fractional coordinates of all 12 atoms:
Co  0.0000  0.0000  0.0000
Co  0.0000  0.0000  0.5000
Co  0.1709  0.3417  0.2500
Co  0.1709  0.8291  0.2500
Co  0.3417  0.1709  0.7500
Co  0.6583  0.8291  0.2500
Co  0.8291  0.1709  0.7500
Co  0.8291  0.6583  0.7500
Re  0.3333  0.6667  0.5665
Re  0.3333  0.6667  0.9335
Re  0.6667  0.3333  0.0665
Re  0.6667  0.3333  0.4335

Entry 8:
Here is a relaxed structure of YZrPt2 from the Open Quantum Materials Database. Energies are from GGA-PBE.

Results
The value obtained for the volume is 18.580 A^3/atom. The calculation puts the formation energy at -69.7 kJ/mol of atoms. The space group is F-43m (216). The calculation puts the magnetic moment at 0.000 μB/f.u.

Cell: 4.7193 4.7193 4.7193 Å, 60.00 60.00 60.00°
Fractional coordinates of all 4 atoms:
Y  0.0000  0.0000  0.0000
Zr  0.2500  0.2500  0.2500
Pt  0.5000  0.5000  0.5000
Pt  0.7500  0.7500  0.7500

Entry 9:
Here is a relaxed structure of Hf4InCoN2 from the Open Quantum Materials Database. Energies are from GGA-PBE.

Results
The value obtained for the volume is 15.508 A^3/atom. The space group is P-6m2 (187). The calculation puts the magnetic moment at 0.055 μB/f.u.

Cell: 3.2062 3.2062 13.9354 Å, 90.00 90.00 120.00°
Fractional coordinates of all 8 atoms:
Hf  0.0000  0.0000  0.1374
Hf  0.0000  0.0000  0.8626
Hf  0.3333  0.6667  0.3230
Hf  0.3333  0.6667  0.6770
In  0.0000  0.0000  0.5000
Co  0.3333  0.6667  0.0000
N  0.6667  0.3333  0.2328
N  0.6667  0.3333  0.7672

Entry 10:
Here is a relaxed structure of As2IrAu from the Open Quantum Materials Database. Energies are from GGA-PBE.

Results
The value obtained for the volume is 17.252 A^3/atom. The space group is F-43m (216). The calculation puts the magnetic moment at 0.012 μB/f.u.

Cell: 4.6040 4.6040 4.6040 Å, 60.00 60.00 60.00°
Fractional coordinates of all 4 atoms:
As  0.0000  0.0000  0.0000
As  0.2500  0.2500  0.2500
Ir  0.5000  0.5000  0.5000
Au  0.7500  0.7500  0.7500

Entry 11:
Here is a relaxed structure of NaAg5 from the Open Quantum Materials Database. Energies are from GGA-PBE.

Results
The value obtained for the volume is 20.880 A^3/atom. The space group is P6/mmm (191).

Cell: 5.5789 5.5789 4.6478 Å, 90.00 90.00 120.00°
Fractional coordinates of all 6 atoms:
Na  0.0000  0.0000  0.0000
Ag  0.0000  0.5000  0.5000
Ag  0.3333  0.6667  0.0000
Ag  0.5000  0.0000  0.5000
Ag  0.5000  0.5000  0.5000
Ag  0.6667  0.3333  0.0000

Entry 12:
Here is a relaxed structure of PmScPO from the Open Quantum Materials Database. Energies are from GGA-PBE.

Results
The value obtained for the volume is 18.151 A^3/atom. The space group is Pmc2_1 (26). The calculation puts the magnetic moment at 0.462 μB/f.u.

Cell: 4.1997 4.9318 7.0108 Å, 90.00 90.00 90.00°
Fractional coordinates of all 8 atoms:
Pm  0.0000  0.1455  0.0000
Pm  0.0000  0.8545  0.5000
Sc  0.5000  0.3492  0.3566
Sc  0.5000  0.6508  0.8566
P  0.5000  0.1483  0.7076
P  0.5000  0.8517  0.2076
O  0.0000  0.3350  0.3419
O  0.0000  0.6650  0.8419

Entry 13:
Here is a relaxed structure of NaNbFeSi from the Open Quantum Materials Database. Energies are from GGA-PBE.

Results
The value obtained for the volume is 13.900 A^3/atom. The space group is F-43m (216). The calculation puts the magnetic moment at 0.004 μB/f.u.

Cell: 4.2842 4.2842 4.2842 Å, 60.00 60.00 60.00°
Fractional coordinates of all 4 atoms:
Na  0.0000  0.0000  0.0000
Nb  0.2500  0.2500  0.2500
Fe  0.5000  0.5000  0.5000
Si  0.7500  0.7500  0.7500

Entry 14:
Here is a relaxed structure of DyTeNO from the Open Quantum Materials Database. Energies are from GGA-PBE.

Results
The value obtained for the volume is 17.854 A^3/atom. The space group is Pca2_1 (29). The calculation puts the magnetic moment at 0.002 μB/f.u.

Cell: 6.3208 7.0986 6.3667 Å, 90.00 90.00 90.00°
Fractional coordinates of all 16 atoms:
Dy  0.1004  0.1845  0.0000
Dy  0.3996  0.1845  0.5000
Dy  0.6004  0.8155  0.0000
Dy  0.8996  0.8155  0.5000
Te  0.0918  0.7265  0.9504
Te  0.4082  0.7265  0.4504
Te  0.5918  0.2735  0.9504
Te  0.9082  0.2735  0.4504
N  0.0736  0.1000  0.6502
N  0.4264  0.1000  0.1502
N  0.5736  0.9000  0.6502
N  0.9264  0.9000  0.1502
O  0.0752  0.4801  0.0753
O  0.4248  0.4801  0.5753
O  0.5752  0.5199  0.0753
O  0.9248  0.5199  0.5753

Entry 15:
Here is a relaxed structure of PrGa2Hg from the Open Quantum Materials Database. Energies are from GGA-PBE.

Results
The value obtained for the volume is 22.857 A^3/atom. The space group is Amm2 (38). The calculation puts the magnetic moment at 0.003 μB/f.u.

Cell: 4.6552 6.7771 6.7771 Å, 58.79 90.00 90.00°
Fractional coordinates of all 8 atoms:
Pr  0.0000  0.0000  0.0000
Pr  0.5000  0.3440  0.3440
Ga  0.0000  0.5320  0.5320
Ga  0.0000  0.5386  0.9598
Ga  0.0000  0.9598  0.5386
Ga  0.5000  0.8259  0.8259
Hg  0.5000  0.3643  0.8383
Hg  0.5000  0.8383  0.3643

Entry 16:
Here is a relaxed structure of TbPt8N2 from the Open Quantum Materials Database. Energies are from GGA-PBE.

Results
The value obtained for the volume is 15.041 A^3/atom. The space group is C2/m (12). The calculation puts the magnetic moment at 0.001 μB/f.u.

Cell: 6.8329 6.8329 9.5972 Å, 130.40 130.40 29.86°
Fractional coordinates of all 11 atoms:
Tb  0.0000  0.0000  0.0000
Pt  0.0136  0.0136  0.3742
Pt  0.3269  0.3269  0.3315
Pt  0.3520  0.3520  0.6619
Pt  0.3589  0.3589  0.0818
Pt  0.6411  0.6411  0.9182
Pt  0.6480  0.6480  0.3381
Pt  0.6731  0.6731  0.6685
Pt  0.9864  0.9864  0.6258
N  0.2966  0.2966  0.8171
N  0.7034  0.7034  0.1829

Entry 17:
Here is a relaxed structure of Li4Si2NiAg from the Open Quantum Materials Database. Energies are from GGA-PBE.

Results
The value obtained for the volume is 12.746 A^3/atom. The space group is P-4m2 (115). The calculation puts the magnetic moment at 0.003 μB/f.u.

Cell: 4.1291 4.1291 5.9804 Å, 90.00 90.00 90.00°
Fractional coordinates of all 8 atoms:
Li  0.0000  0.0000  0.0000
Li  0.0000  0.5000  0.7356
Li  0.5000  0.0000  0.2644
Li  0.5000  0.5000  0.5000
Si  0.0000  0.5000  0.2840
Si  0.5000  0.0000  0.7160
Ni  0.0000  0.0000  0.5000
Ag  0.5000  0.5000  0.0000

Entry 18:
Here is a relaxed structure of LuTlCuRe from the Open Quantum Materials Database. Energies are from GGA-PBE.

Results
The value obtained for the volume is 18.763 A^3/atom. The space group is F-43m (216). The calculation puts the magnetic moment at 0.009 μB/f.u.

Cell: 4.7347 4.7347 4.7347 Å, 60.00 60.00 60.00°
Fractional coordinates of all 4 atoms:
Lu  0.0000  0.0000  0.0000
Tl  0.5000  0.5000  0.5000
Cu  0.7500  0.7500  0.7500
Re  0.2500  0.2500  0.2500

| no. | energy (eV/atom) |
| --- | --- |
| 1 | -5.97 |
| 2 | -7.32 |
| 3 | -5.77 |
| 4 | -8.53 |
| 5 | -4.28 |
| 6 | -3.03 |
| 7 | -8.82 |
| 8 | -7.50 |
| 9 | -9.23 |
| 10 | -4.80 |
| 11 | -2.59 |
| 12 | -7.47 |
| 13 | -6.08 |
| 14 | -6.34 |
| 15 | -3.25 |
| 16 | -6.40 |
| 17 | -3.67 |
| 18 | -5.27 |